Below is a crystal of ZnCdHg2Os relaxed with PBEsol, with properties calculated at the meta-GGA SCAN level.

Total moment in μB per atom: 0.566
Symmetry: No. 123
ΔH_f (0 K) in meV/atom: 1407

Structure (extended XYZ):
```
5
Lattice="4.803 0.000 0.000 0.000 4.803 0.000 0.000 0.000 4.831" Properties=species:S:1:pos:R:3 pbc="T T T"
Zn 0.000 0.000 0.000
Cd 0.000 0.000 2.416
Hg 0.000 2.401 0.000
Hg 2.401 0.000 0.000
Os 2.401 2.401 2.416
```

=====

Below is a crystal of Cd2HgP relaxed with PBEsol, with properties calculated at the meta-GGA SCAN level.

Total moment in μB per atom: 0.000
Symmetry: No. 6
ΔH_f (0 K) in meV/atom: 97

Structure (extended XYZ):
```
4
Lattice="3.900 0.000 0.000 0.000 3.667 0.000 -1.941 0.000 6.100" Properties=species:S:1:pos:R:3 pbc="T T T"
Cd 0.000 0.000 0.000
Cd 0.002 1.833 3.611
Hg 1.952 1.833 1.145
P 1.951 0.000 3.525
```

=====

Below is a crystal of Cd2HgP relaxed with PBEsol, with properties calculated at the meta-GGA SCAN level.

Total moment in μB per atom: 0.000
Symmetry: No. 139
ΔH_f (0 K) in meV/atom: 235

Structure (extended XYZ):
```
4
Lattice="-2.460 2.460 3.374 2.460 -2.460 3.374 2.460 2.460 -3.374" Properties=species:S:1:pos:R:3 pbc="T T T"
Cd 2.460 0.000 1.687
Cd 0.000 2.460 1.687
Hg 0.000 0.000 0.000
P 0.000 0.000 3.374
```

=====

Below is a crystal of CdHgPb2 relaxed with PBEsol, with properties calculated at the meta-GGA SCAN level.

ΔE to the lowest computed polymorph in eV per atom: 0.0102
Total moment in μB per atom: 0.000
Symmetry: No. 35
ΔH_f (0 K) in meV/atom: 48

Structure (extended XYZ):
```
4
Lattice="1.788 -2.827 0.000 1.788 2.827 0.000 0.000 0.000 10.476" Properties=species:S:1:pos:R:3 pbc="T T T"
Cd 0.000 0.000 0.000
Hg 1.788 0.000 8.162
Pb 0.000 0.000 5.552
Pb 1.788 0.000 2.594
```

=====

Below is a crystal of Cd3HgPb relaxed with PBEsol, with properties calculated at the meta-GGA SCAN level.

Total moment in μB per atom: 0.000
Symmetry: No. 221
ΔH_f (0 K) in meV/atom: 339

Structure (extended XYZ):
```
5
Lattice="5.260 0.000 0.000 0.000 5.260 0.000 0.000 0.000 5.260" Properties=species:S:1:pos:R:3 pbc="T T T"
Cd 0.000 0.000 2.630
Cd 0.000 2.630 0.000
Cd 2.630 0.000 0.000
Hg 0.000 0.000 0.000
Pb 2.630 2.630 2.630
```

=====

Below is a crystal of CdHgPb2 relaxed with PBEsol, with properties calculated at the meta-GGA SCAN level.

ΔE to the lowest computed polymorph in eV per atom: 0.0308
Total moment in μB per atom: 0.000
Symmetry: No. 10
ΔH_f (0 K) in meV/atom: 69

Structure (extended XYZ):
```
4
Lattice="3.360 0.000 0.000 0.000 5.331 0.000 -0.500 0.000 5.876" Properties=species:S:1:pos:R:3 pbc="T T T"
Cd 0.000 0.000 0.000
Hg 1.430 0.000 2.938
Pb 0.458 2.665 4.415
Pb 2.402 2.665 1.461
```

=====

Below is a crystal of CdHgPb2 relaxed with PBEsol, with properties calculated at the meta-GGA SCAN level.

ΔE to the lowest computed polymorph in eV per atom: 0.0177
Total moment in μB per atom: 0.000
Symmetry: No. 119
ΔH_f (0 K) in meV/atom: 55

Structure (extended XYZ):
```
4
Lattice="-2.298 2.298 4.911 2.298 -2.298 4.911 2.298 2.298 -4.911" Properties=species:S:1:pos:R:3 pbc="T T T"
Cd 0.000 0.000 0.000
Hg 0.000 2.298 2.456
Pb 2.298 0.000 2.456
Pb 0.000 0.000 4.911
```

=====

Below is a crystal of CdHg2Pb2 relaxed with PBEsol, with properties calculated at the meta-GGA SCAN level.

Total moment in μB per atom: 0.000
Symmetry: No. 127
ΔH_f (0 K) in meV/atom: 105

Structure (extended XYZ):
```
10
Lattice="8.182 0.000 0.000 0.000 8.182 0.000 0.000 0.000 4.073" Properties=species:S:1:pos:R:3 pbc="T T T"
Cd 0.000 0.000 0.000
Cd 4.091 4.091 0.000
Hg 1.158 2.933 2.037
Hg 2.933 7.024 2.037
Hg 5.250 1.158 2.037
Hg 7.024 5.250 2.037
Pb 1.315 5.406 0.000
Pb 2.776 1.315 0.000
Pb 5.406 6.867 0.000
Pb 6.867 2.776 0.000
```

=====

Below is a crystal of CdHgPb2 relaxed with PBEsol, with properties calculated at the meta-GGA SCAN level.

ΔE to the lowest computed polymorph in eV per atom: 0.0252
Total moment in μB per atom: 0.000
Symmetry: No. 47
ΔH_f (0 K) in meV/atom: 63

Structure (extended XYZ):
```
4
Lattice="3.653 0.000 0.000 0.000 5.226 0.000 0.000 0.000 5.506" Properties=species:S:1:pos:R:3 pbc="T T T"
Cd 0.000 0.000 0.000
Hg 1.827 0.000 2.753
Pb 0.000 2.613 2.753
Pb 1.827 2.613 0.000
```

=====

Below is a crystal of CdHgPb2 relaxed with PBEsol, with properties calculated at the meta-GGA SCAN level.

ΔE to the lowest computed polymorph in eV per atom: 0.0118
Total moment in μB per atom: 0.000
Symmetry: No. 44
ΔH_f (0 K) in meV/atom: 49

Structure (extended XYZ):
```
4
Lattice="-1.764 2.743 5.367 1.764 -2.743 5.367 1.764 2.743 -5.367" Properties=species:S:1:pos:R:3 pbc="T T T"
Cd 0.000 0.000 0.000
Hg 1.764 0.000 2.368
Pb 0.000 0.000 5.082
Pb 0.000 2.743 2.681
```

=====

Below is a crystal of CdHgPb2 relaxed with PBEsol, with properties calculated at the meta-GGA SCAN level.

ΔE to the lowest computed polymorph in eV per atom: 0.0132
Total moment in μB per atom: 0.000
Symmetry: No. 123
ΔH_f (0 K) in meV/atom: 51

Structure (extended XYZ):
```
4
Lattice="3.333 0.000 0.000 0.000 3.333 0.000 0.000 0.000 9.342" Properties=species:S:1:pos:R:3 pbc="T T T"
Cd 0.000 0.000 0.000
Hg 0.000 0.000 4.671
Pb 1.666 1.666 2.284
Pb 1.666 1.666 7.058
```

=====

Below is a crystal of CdHgPb2 relaxed with PBEsol, with properties calculated at the meta-GGA SCAN level.

ΔE to the lowest computed polymorph in eV per atom: 0.0466
Total moment in μB per atom: 0.000
Symmetry: No. 225
ΔH_f (0 K) in meV/atom: 84

Structure (extended XYZ):
```
4
Lattice="0.000 3.732 3.732 3.732 0.000 3.732 3.732 3.732 0.000" Properties=species:S:1:pos:R:3 pbc="T T T"
Cd 0.000 0.000 0.000
Hg 3.732 3.732 3.732
Pb 1.866 1.866 1.866
Pb 5.599 5.599 5.599
```

=====

The highest ΔH_f (0 K) belongs to which entry?
ZnCdHg2Os

=====

The highest total moment belongs to which entry?
ZnCdHg2Os

=====

Which formula does entry 9 have?
CdHgPb2

=====

Number 3 is which compound?
Cd2HgP